1.
Compound: CoNiOs2
Source: Alexandria
Functional: SCAN
Structure: PBEsol geometry

* calculated formation energy: 0.24 eV/atom
* SG: No. 160
* calculated volume: 50.06 Å³ per cell

Unit cell a=2.643 b=2.643 c=8.416 alpha=80.97 beta=80.97 gamma=60.00
Last column: magnetic moment on the atom in μB.
Element x y z (fractional)
1 Os 0.998 0.998 0.007  -0.10
2 Os 0.753 0.753 0.742  -0.04
3 Ni 0.247 0.247 0.259  0.69
4 Co 0.502 0.502 0.493  1.83

***

2.
Compound: CoNiOs2
Source: Alexandria
Functional: SCAN
Structure: PBEsol geometry

* calculated formation energy: 0.38 eV/atom
* SG: No. 12
* calculated volume: 50.90 Å³ per cell

Unit cell a=2.581 b=4.615 c=4.999 alpha=116.64 beta=103.57 gamma=92.93
Last column: magnetic moment on the atom in μB.
Element x y z (fractional)
1 Os 0.500 0.500 0.500  0.20
2 Ni 0.500 0.000 0.000  0.27
3 Co 0.000 0.500 0.000  1.96
4 Os 0.000 0.000 0.500  0.20

***

3.
Compound: CoNiOs3
Source: Alexandria
Functional: SCAN
Structure: PBEsol geometry

* calculated formation energy: 2.23 eV/atom
* SG: No. 221
* calculated volume: 80.42 Å³ per cell

Unit cell a=4.316 b=4.316 c=4.316 alpha=90.00 beta=90.00 gamma=90.00
Last column: magnetic moment on the atom in μB.
Element x y z (fractional)
1 Os 0.000 0.000 0.500  -0.19
2 Co 0.500 0.500 0.500  2.29
3 Os 0.500 0.000 0.000  -0.19
4 Ni 0.000 0.000 0.000  -0.88
5 Os 0.000 0.500 0.000  -0.19

***

4.
Compound: CoNiP
Source: Alexandria
Functional: SCAN
Structure: PBEsol geometry

* calculated formation energy: -0.43 eV/atom
* SG: No. 189
* calculated volume: 93.77 Å³ per cell

Unit cell a=3.273 b=5.752 c=5.752 alpha=120.00 beta=90.00 gamma=90.00
Element x y z (fractional)
1 P 0.000 0.000 0.000
2 Ni 0.500 0.000 0.261
3 P 0.500 0.667 0.333
4 Co 0.000 0.393 0.393
5 Co 0.000 0.607 0.000
6 Ni 0.500 0.739 0.739
7 P 0.500 0.333 0.667
8 Ni 0.500 0.261 0.000
9 Co 0.000 0.000 0.607

***

5.
Compound: CoNi2P
Source: Alexandria
Functional: SCAN
Structure: PBEsol geometry

* calculated formation energy: -0.17 eV/atom
* SG: No. 44
* calculated volume: 41.66 Å³ per cell

Unit cell a=2.804 b=3.861 c=4.528 alpha=115.23 beta=108.03 gamma=90.00
Last column: magnetic moment on the atom in μB.
Element x y z (fractional)
1 Ni 0.000 0.000 0.999  0.24
2 P 0.499 0.499 0.999  0.02
3 Co 0.784 0.284 0.568  1.32
4 Ni 0.217 0.717 0.434  0.26

***

6.
Compound: CoNiP
Source: Alexandria
Functional: SCAN
Structure: PBEsol geometry

* calculated formation energy: -0.11 eV/atom
* SG: No. 107
* calculated volume: 31.26 Å³ per cell

Unit cell a=2.718 b=2.718 c=4.649 alpha=106.99 beta=106.99 gamma=90.00
Last column: magnetic moment on the atom in μB.
Element x y z (fractional)
1 P 0.661 0.661 0.323  0.00
2 Co 0.024 0.024 0.048  0.73
3 Ni 0.315 0.315 0.630  0.00

***

7.
Compound: CoNi2P
Source: Alexandria
Functional: SCAN
Structure: PBEsol geometry

* calculated formation energy: -0.15 eV/atom
* SG: No. 38
* calculated volume: 41.82 Å³ per cell

Unit cell a=2.605 b=3.369 c=4.939 alpha=90.00 beta=105.29 gamma=90.00
Element x y z (fractional)
1 Ni 0.938 0.000 0.876
2 Co 0.584 0.500 0.169
3 Ni 0.314 0.500 0.628
4 P 0.168 0.000 0.336

***

8.
Compound: CoNiP
Source: Alexandria
Functional: SCAN
Structure: PBEsol geometry

* calculated formation energy: -0.49 eV/atom
* SG: No. 216
* calculated volume: 33.78 Å³ per cell

Unit cell a=3.628 b=3.628 c=3.628 alpha=60.00 beta=60.00 gamma=60.00
Last column: magnetic moment on the atom in μB.
Element x y z (fractional)
1 Co 0.000 0.000 0.000  0.19
2 P 0.250 0.250 0.250  0.00
3 Ni 0.500 0.500 0.500  0.10

***

9.
Compound: CoNiPb2
Source: Alexandria
Functional: SCAN
Structure: PBEsol geometry

* calculated formation energy: 0.34 eV/atom
* SG: No. 99
* calculated volume: 76.78 Å³ per cell

Unit cell a=3.157 b=3.157 c=7.701 alpha=90.00 beta=90.00 gamma=90.00
Last column: magnetic moment on the atom in μB.
Element x y z (fractional)
1 Ni 0.500 0.500 0.693  0.51
2 Co 0.000 0.000 0.559  1.77
3 Pb 0.000 0.000 0.920  -0.02
4 Pb 0.500 0.500 0.329  -0.05

***

10.
Compound: CoNiPb2
Source: Alexandria
Functional: SCAN
Structure: PBEsol geometry

* calculated formation energy: 0.55 eV/atom
* SG: No. 47
* calculated volume: 69.61 Å³ per cell

Unit cell a=3.209 b=4.403 c=4.927 alpha=90.00 beta=90.00 gamma=90.00
Last column: magnetic moment on the atom in μB.
Element x y z (fractional)
1 Pb 0.000 0.000 0.000  0.01
2 Co 0.500 0.500 0.000  1.76
3 Ni 0.500 0.000 0.500  0.25
4 Pb 0.000 0.500 0.500  0.01

***

11.
Compound: CoNiPb2
Source: Alexandria
Functional: SCAN
Structure: PBEsol geometry

* calculated formation energy: 0.49 eV/atom
* SG: No. 44
* calculated volume: 72.84 Å³ per cell

Unit cell a=3.132 b=4.091 c=6.241 alpha=109.13 beta=104.53 gamma=90.00
Last column: magnetic moment on the atom in μB.
Element x y z (fractional)
1 Pb 0.790 0.290 0.579  -0.03
2 Co 0.505 0.505 0.009  1.51
3 Ni 0.182 0.682 0.364  0.20
4 Pb 0.024 0.024 0.047  -0.02

***

12.
Compound: ZnCoNiPb2
Source: Alexandria
Functional: SCAN
Structure: PBEsol geometry

* calculated formation energy: 0.67 eV/atom
* SG: No. 123
* calculated volume: 107.12 Å³ per cell

Unit cell a=4.421 b=4.922 c=4.922 alpha=90.00 beta=90.00 gamma=90.00
Last column: magnetic moment on the atom in μB.
Element x y z (fractional)
1 Pb 0.000 0.500 0.000  0.00
2 Pb 0.000 0.000 0.500  0.00
3 Zn 0.500 0.500 0.500  -0.03
4 Co 0.000 0.000 0.000  1.14
5 Ni 0.500 0.000 0.000  0.98

***

What did the ninth record say?
Compound: CoNiPb2
Source: Alexandria
Functional: SCAN
Structure: PBEsol geometry

* calculated formation energy: 0.34 eV/atom
* SG: No. 99
* calculated volume: 76.78 Å³ per cell

Unit cell a=3.157 b=3.157 c=7.701 alpha=90.00 beta=90.00 gamma=90.00
Last column: magnetic moment on the atom in μB.
Element x y z (fractional)
1 Ni 0.500 0.500 0.693  0.51
2 Co 0.000 0.000 0.559  1.77
3 Pb 0.000 0.000 0.920  -0.02
4 Pb 0.500 0.500 0.329  -0.05

***

Please write out number 11 again, unchanged.
Compound: CoNiPb2
Source: Alexandria
Functional: SCAN
Structure: PBEsol geometry

* calculated formation energy: 0.49 eV/atom
* SG: No. 44
* calculated volume: 72.84 Å³ per cell

Unit cell a=3.132 b=4.091 c=6.241 alpha=109.13 beta=104.53 gamma=90.00
Last column: magnetic moment on the atom in μB.
Element x y z (fractional)
1 Pb 0.790 0.290 0.579  -0.03
2 Co 0.505 0.505 0.009  1.51
3 Ni 0.182 0.682 0.364  0.20
4 Pb 0.024 0.024 0.047  -0.02